# 1
TbTm2Rh3 | GGA-PBE | optimized geometry

Unit cell a=4.8103 b=4.8103 c=11.7539 alpha=90.00 beta=90.00 gamma=120.00
Fractional coordinates of all 12 atoms:
Tb 0.3333 0.6667 0.6678
Tb 0.6667 0.3333 0.3322
Tm 0.0000 0.0000 0.5000
Tm 0.3333 0.6667 0.1646
Tm 0.6667 0.3333 0.8354
Tm 0.0000 0.0000 0.0000
Rh 0.3333 0.6667 0.4164
Rh 0.6667 0.3333 0.0815
Rh 0.0000 0.0000 0.7524
Rh 0.0000 0.0000 0.2476
Rh 0.3333 0.6667 0.9185
Rh 0.6667 0.3333 0.5836

Spin magnetization   0.00 μB/f.u.
E   -6.86 eV per atom



# 2
Tb2Tm3Rh2 | GGA-PBE | optimized geometry

Unit cell a=3.7578 b=6.2614 c=8.8598 alpha=115.10 beta=90.00 gamma=107.46
Fractional coordinates of all 7 atoms:
Tb 0.8350 0.6699 0.1932
Tb 0.1650 0.3301 0.8068
Tm 0.5000 0.0000 0.0000
Tm 0.6169 0.2338 0.4306
Tm 0.3831 0.7662 0.5694
Rh 0.8255 0.6509 0.7596
Rh 0.1745 0.3491 0.2404

Spin magnetization   0.00 μB/f.u.
E   -5.95 eV per atom



# 3
TbTm2Rh | GGA-PBE | optimized geometry

Unit cell a=3.7664 b=6.2410 c=9.2631 alpha=90.00 beta=90.00 gamma=107.58
Fractional coordinates of all 8 atoms:
Tb 0.4261 0.8522 0.2500
Tb 0.5739 0.1478 0.7500
Tm 0.1395 0.2788 0.4330
Tm 0.8605 0.7212 0.5670
Tm 0.8605 0.7212 0.9330
Tm 0.1395 0.2788 0.0670
Rh 0.7450 0.4902 0.2500
Rh 0.2550 0.5098 0.7500

Spin magnetization   0.00 μB/f.u.
E   -5.75 eV per atom
Distance to the lowest polymorph of the same formula   31 meV per atom



# 4
TbTm2Rh | GGA-PBE | optimized geometry

Unit cell a=3.5786 b=3.5786 c=10.6535 alpha=80.33 beta=80.33 gamma=60.00
Fractional coordinates of all 4 atoms:
Rh 0.5000 0.5000 0.5000
Tm 0.1106 0.1106 0.6683
Tm 0.8894 0.8894 0.3317
Tb 0.0000 0.0000 0.0000

Spin magnetization   0.00 μB/f.u.
E   -5.41 eV per atom
Distance to the lowest polymorph of the same formula   379 meV per atom



# 5
Tb3TmRh3 | GGA-PBE | optimized geometry

Unit cell a=6.9157 b=6.9157 c=6.7128 alpha=90.02 beta=90.02 gamma=88.61
Fractional coordinates of all 14 atoms:
Tb 0.7529 0.7529 0.4998
Tb 0.2451 0.7549 0.5000
Tb 0.7549 0.2451 0.5000
Tb 0.2596 0.7404 0.0000
Tb 0.7404 0.2596 0.0000
Tb 0.2471 0.2471 0.5002
Tm 0.7683 0.7683 0.9998
Tm 0.2317 0.2317 0.0002
Rh 0.0000 0.0000 0.2500
Rh 0.0000 0.5000 0.7539
Rh 0.5000 0.0000 0.7539
Rh 0.0000 0.5000 0.2461
Rh 0.5000 0.0000 0.2461
Rh 0.0000 0.0000 0.7500

Spin magnetization   0.00 μB/f.u.
E   -6.50 eV per atom



# 6
Tb3TmRh4 | GGA-PBE | optimized geometry

Unit cell a=4.8354 b=4.8353 c=7.6805 alpha=108.42 beta=108.35 gamma=90.00
Fractional coordinates of all 8 atoms:
Rh 0.3764 0.3765 0.7528
Rh 0.6236 0.6235 0.2472
Rh 0.1236 0.1236 0.2471
Rh 0.8764 0.8764 0.7529
Tm 0.5000 0.0000 0.0000
Tb 0.0000 0.5000 0.0000
Tb 0.7495 0.2495 0.4990
Tb 0.2505 0.7505 0.5010

Spin magnetization   0.00 μB/f.u.
E   -6.85 eV per atom



# 7
TbTm4Rh4 | GGA-PBE | optimized geometry

Unit cell a=5.5531 b=8.7414 c=8.7414 alpha=90.00 beta=90.00 gamma=90.00
Fractional coordinates of all 18 atoms:
Tb 0.0000 0.0000 0.0000
Tb 0.5000 0.5000 0.5000
Tm 0.4088 0.3227 0.9104
Tm 0.9088 0.5896 0.8227
Tm 0.4088 0.6773 0.0896
Tm 0.0912 0.1773 0.5896
Tm 0.5912 0.9104 0.6773
Tm 0.0912 0.8227 0.4104
Tm 0.9088 0.4104 0.1773
Tm 0.5912 0.0896 0.3227
Rh 0.5926 0.7800 0.3742
Rh 0.5926 0.2200 0.6258
Rh 0.0926 0.8742 0.7200
Rh 0.9074 0.2800 0.8742
Rh 0.9074 0.7200 0.1258
Rh 0.4074 0.3742 0.2200
Rh 0.4074 0.6258 0.7800
Rh 0.0926 0.1258 0.2800

Spin magnetization   0.00 μB/f.u.
E   -6.46 eV per atom



# 8
Tb2Tm5Rh4 | GGA-PBE | optimized geometry

Unit cell a=3.4655 b=7.7353 c=10.3912 alpha=80.94 beta=99.60 gamma=90.00
Fractional coordinates of all 11 atoms:
Tb 0.0594 0.6114 0.1188
Tb 0.9406 0.3886 0.8812
Tm 0.1630 0.9377 0.3259
Tm 0.8370 0.0623 0.6741
Tm 0.2022 0.3640 0.4044
Tm 0.5000 0.0000 0.0000
Tm 0.7978 0.6360 0.5956
Rh 0.6623 0.6589 0.3246
Rh 0.9311 0.7745 0.8623
Rh 0.3377 0.3411 0.6754
Rh 0.0689 0.2255 0.1377

Spin magnetization   0.00 μB/f.u.
E   -6.07 eV per atom



What are the energy of formation from the pure elements values for these records? In order: -0.9263, -0.6096, -0.5220, -0.1742, -0.7222, -0.8754, -0.6950, -0.5197 eV/atom.